This record from OQMD describes an optimized crystal structure of TbDyGa4Ni2. The functional is GGA-PBE.

Geometry as POSCAR:
```
TbDyGa4Ni2
1.0
-3.8011 2.6492 -4.8485
-1.0547 4.3328 3.1942
2.2836 4.9071 0.8910
Ni Ga Dy Tb
2 4 1 1
Direct
0.5000 0.2861 0.2861
0.0000 0.7137 0.7137
0.8047 0.1470 0.1470
0.1953 0.1470 0.1470
0.3040 0.8532 0.8532
0.6960 0.8532 0.8532
0.0000 0.4313 0.4313
0.5000 0.5686 0.5686
```

Computed properties:
Spin magnetization = 0.01 μB/f.u.
Raw total energy = -4.71 eV per atom

This record from OQMD describes an optimized crystal structure of TbDy2Ga3Ni3. The functional is GGA-PBE.

Geometry as POSCAR:
```
TbDy2Ga3Ni3
1.0
3.7806 0.0000 0.0000
0.0000 6.0938 3.5176
0.0000 -6.0938 3.5176
Ni Ga Dy Tb
3 3 2 1
Direct
0.0000 0.3329 0.6675
0.0000 0.6675 0.3329
0.5000 0.9996 0.9996
0.0000 0.7552 0.7552
0.0000 0.9991 0.2456
0.0000 0.2456 0.9991
0.5000 0.0000 0.5878
0.5000 0.5878 0.0000
0.5000 0.4125 0.4125
```

Computed properties:
Spin magnetization = 0.00 μB/f.u.
Raw total energy = -5.04 eV per atom

This record from OQMD describes an optimized crystal structure of Dy2TmGa3Ni3. The functional is GGA-PBE.

Geometry as POSCAR:
```
Dy2TmGa3Ni3
1.0
3.7436 0.0000 0.0000
0.0000 6.0710 3.5074
0.0000 -6.0710 3.5074
Ni Dy Ga Tm
3 2 3 1
Direct
0.5000 0.3346 0.6644
0.0000 0.0016 0.0016
0.5000 0.6644 0.3346
0.0000 0.5876 0.0000
0.0000 0.0000 0.5876
0.5000 0.0021 0.2469
0.5000 0.7516 0.7516
0.5000 0.2469 0.0021
0.0000 0.4112 0.4112
```

Computed properties:
Spin magnetization = 0.00 μB/f.u.
Raw total energy = -5.03 eV per atom

This record from OQMD describes an optimized crystal structure of DyYGa2Ni4. The functional is GGA-PBE.

Geometry as POSCAR:
```
DyYGa2Ni4
1.0
4.1529 0.0000 0.0000
-2.0764 3.5965 0.0000
0.0000 0.0000 8.8926
Ni Ga Y Dy
4 2 1 1
Direct
0.6667 0.3333 0.3102
0.3333 0.6667 0.8133
0.6667 0.3333 0.6898
0.3333 0.6667 0.1867
0.0000 0.0000 0.7500
0.0000 0.0000 0.2500
0.3333 0.6667 0.5000
0.6667 0.3333 0.0000
```

Computed properties:
Spin magnetization = 0.00 μB/f.u.
Raw total energy = -5.49 eV per atom

This record from OQMD describes an optimized crystal structure of DyY2Ga3Ni3. The functional is GGA-PBE.

Geometry as POSCAR:
```
DyY2Ga3Ni3
1.0
-0.1750 -1.3124 3.5220
1.8977 -6.3703 -2.2795
4.9200 4.6164 1.9647
Ni Ga Y Dy
3 3 2 1
Direct
0.0000 0.0018 0.0018
0.5000 0.6641 0.3342
0.5000 0.3342 0.6641
0.5000 0.0000 0.2458
0.5000 0.7544 0.7544
0.5000 0.2458 0.0000
0.0000 0.5883 0.9998
0.0000 0.9998 0.5883
0.0000 0.4118 0.4118
```

Computed properties:
Spin magnetization = 0.00 μB/f.u.
Raw total energy = -5.45 eV per atom

This record from OQMD describes an optimized crystal structure of Dy2YGa4Ni. The functional is GGA-PBE.

Geometry as POSCAR:
```
Dy2YGa4Ni
1.0
6.5999 0.0000 0.0000
0.0000 1.8690 6.8598
0.0000 -1.8690 6.8598
Ni Ga Dy Y
1 4 2 1
Direct
0.0000 0.5311 0.5311
0.2423 0.0948 0.0948
0.7577 0.0948 0.0948
0.1890 0.9076 0.9076
0.8110 0.9076 0.9076
0.5000 0.7305 0.7305
0.0000 0.2696 0.2696
0.5000 0.4641 0.4641
```

Computed properties:
Spin magnetization = 0.01 μB/f.u.
Raw total energy = -4.63 eV per atom

Number 3 is which compound? Dy2TmGa3Ni3

Repeat the second record exactly.
This record from OQMD describes an optimized crystal structure of TbDy2Ga3Ni3. The functional is GGA-PBE.

Geometry as POSCAR:
```
TbDy2Ga3Ni3
1.0
3.7806 0.0000 0.0000
0.0000 6.0938 3.5176
0.0000 -6.0938 3.5176
Ni Ga Dy Tb
3 3 2 1
Direct
0.0000 0.3329 0.6675
0.0000 0.6675 0.3329
0.5000 0.9996 0.9996
0.0000 0.7552 0.7552
0.0000 0.9991 0.2456
0.0000 0.2456 0.9991
0.5000 0.0000 0.5878
0.5000 0.5878 0.0000
0.5000 0.4125 0.4125
```

Computed properties:
Spin magnetization = 0.00 μB/f.u.
Raw total energy = -5.04 eV per atom

Look up the raw total energy of the fourth one. -5.49 eV per atom